A geometry-optimized Ba2SrSn2 structure, computed with GGA-PBEsol.

Output
Energy above the lowest structure with this stoichiometry = 406 meV per atom
Final energy = -3.134 eV/atom
Energy of formation = -203 meV/atom
N(E_F) = 2.501 states/eV per cell
Total moment = 0.0 μB per formula unit

Structure (CIF):
```
data_Ba2SrSn2
_chemical_formula_sum 'Ba2 Sr1 Sn2'
_cell_length_a 7.1962
_cell_length_b 7.1962
_cell_length_c 7.1962
_cell_angle_alpha 130.04
_cell_angle_beta 130.04
_cell_angle_gamma 73.34
_symmetry_space_group_name_H-M 'P 1'
_symmetry_Int_Tables_number 1
_symmetry_space_group_name_Hall 'P 1'
loop_
_atom_site_label
_atom_site_fract_x
_atom_site_fract_y
_atom_site_fract_z
Ba1 0.1473 0.1473 0.0000
Ba2 0.8527 0.8527 0.0000
Sr1 0.5000 0.5000 0.0000
Sn1 0.2500 0.7500 0.5000
Sn2 0.7500 0.2500 0.5000
```



A geometry-optimized Ca3Nb4O12F2 structure, computed with GGA-PBEsol.

Output
Energy above the lowest structure with this stoichiometry = 0 meV per atom
Final energy = -8.474 eV/atom
N(E_F) = 0.000 states/eV per cell
Total moment = 0.0 μB per formula unit
ΔE_f (raw) = -2.925 eV per atom

Structure (CIF):
```
data_Ca3Nb4O12F2
_chemical_formula_sum 'Ca12 Nb16 O48 F8'
_cell_length_a 10.4837
_cell_length_b 10.4837
_cell_length_c 10.4837
_cell_angle_alpha 90.00
_cell_angle_beta 90.00
_cell_angle_gamma 90.00
_symmetry_space_group_name_H-M 'P 1'
_symmetry_Int_Tables_number 1
_symmetry_space_group_name_Hall 'P 1'
loop_
_atom_site_label
_atom_site_fract_x
_atom_site_fract_y
_atom_site_fract_z
Ca1 0.1137 0.3750 0.3637
Ca2 0.1250 0.6363 0.6137
Ca3 0.1363 0.8863 0.8750
Ca4 0.3637 0.1137 0.3750
Ca5 0.3750 0.3637 0.1137
Ca6 0.3863 0.6250 0.8637
Ca7 0.6137 0.1250 0.6363
Ca8 0.6250 0.8637 0.3863
Ca9 0.6363 0.6137 0.1250
Ca10 0.8637 0.3863 0.6250
Ca11 0.8750 0.1363 0.8863
Ca12 0.8863 0.8750 0.1363
Nb1 0.1235 0.1265 0.6250
Nb2 0.1250 0.3765 0.8735
Nb3 0.1250 0.8750 0.3750
Nb4 0.1265 0.6250 0.1235
Nb5 0.3735 0.3750 0.6235
Nb6 0.3750 0.1250 0.8750
Nb7 0.3750 0.6235 0.3735
Nb8 0.3765 0.8735 0.1250
Nb9 0.6235 0.3735 0.3750
Nb10 0.6250 0.1235 0.1265
Nb11 0.6250 0.6250 0.6250
Nb12 0.6265 0.8750 0.8765
Nb13 0.8735 0.1250 0.3765
Nb14 0.8750 0.3750 0.1250
Nb15 0.8750 0.8765 0.6265
Nb16 0.8765 0.6265 0.8750
O1 0.0019 0.5050 0.8017
O2 0.0050 0.6983 0.9981
O3 0.0084 0.8118 0.5104
O4 0.0104 0.4916 0.1882
O5 0.0517 0.2550 0.7481
O6 0.0618 0.7584 0.2396
O7 0.1882 0.0104 0.4916
O8 0.1983 0.5019 0.9950
O9 0.2396 0.0618 0.7584
O10 0.2416 0.7396 0.4382
O11 0.2450 0.2519 0.5517
O12 0.2481 0.4483 0.7450
O13 0.2519 0.5517 0.2450
O14 0.2550 0.7481 0.0517
O15 0.2584 0.2604 0.9382
O16 0.2604 0.9382 0.2584
O17 0.3017 0.4981 0.4950
O18 0.3118 0.9896 0.9916
O19 0.4382 0.2416 0.7396
O20 0.4483 0.7450 0.2481
O21 0.4896 0.5084 0.6882
O22 0.4916 0.1882 0.0104
O23 0.4950 0.3017 0.4981
O24 0.4981 0.4950 0.3017
O25 0.5019 0.9950 0.1983
O26 0.5050 0.8017 0.0019
O27 0.5084 0.6882 0.4896
O28 0.5104 0.0084 0.8118
O29 0.5517 0.2450 0.2519
O30 0.5618 0.7416 0.7604
O31 0.6882 0.4896 0.5084
O32 0.6983 0.9981 0.0050
O33 0.7396 0.4382 0.2416
O34 0.7416 0.7604 0.5618
O35 0.7450 0.2481 0.4483
O36 0.7481 0.0517 0.2550
O37 0.7519 0.9483 0.7550
O38 0.7550 0.7519 0.9483
O39 0.7584 0.2396 0.0618
O40 0.7604 0.5618 0.7416
O41 0.8017 0.0019 0.5050
O42 0.8118 0.5104 0.0084
O43 0.9382 0.2584 0.2604
O44 0.9483 0.7550 0.7519
O45 0.9896 0.9916 0.3118
O46 0.9916 0.3118 0.9896
O47 0.9950 0.1983 0.5019
O48 0.9981 0.0050 0.6983
F1 0.0126 0.4874 0.5126
F2 0.2374 0.7374 0.7626
F3 0.2626 0.2626 0.2626
F4 0.4874 0.5126 0.0126
F5 0.5126 0.0126 0.4874
F6 0.7374 0.7626 0.2374
F7 0.7626 0.2374 0.7374
F8 0.9874 0.9874 0.9874
```



Question: N(E_F) of number 2 (Ca3Nb4O12F2)?
Answer: 0.000 states/eV per cell